Sr2NpBe2P4 | GGA-PBE | relaxed Values from VASP.

## Properties
- DOS(E_F): 0.985 states/eV per atom
- Space group: No. 12
- ΔE_f: -682 kJ/mol of formula units

The structure in Quantum ESPRESSO input format:
```
&SYSTEM
  ibrav = 0, nat = 9, ntyp = 4
/
ATOMIC_SPECIES
Sr 87.62 Sr.upf
Np 237.00 Np.upf
Be 9.01 Be.upf
P 30.97 P.upf
ATOMIC_POSITIONS crystal
Sr 0.1355 0.5724 0.2710
Sr 0.8645 0.4276 0.7290
Np 0.0000 0.0000 0.0000
Be 0.6754 0.9829 0.3508
Be 0.3246 0.0171 0.6492
P 0.2058 0.1652 0.4116
P 0.7942 0.8348 0.5884
P 0.5240 0.7537 0.0479
P 0.4760 0.2463 0.9521
CELL_PARAMETERS angstrom
-0.0026 -3.3021 2.0642
4.6497 2.8434 4.5544
-6.8315 2.9570 1.0484
```

NpPaBe17 | GGA-PBE | relaxed Values from VASP.

## Properties
- DOS(E_F): 0.628 states/eV per atom
- Space group: No. 160
- ΔE_f: -58 kJ/mol of formula units

The structure in Quantum ESPRESSO input format:
```
&SYSTEM
  ibrav = 0, nat = 19, ntyp = 3
/
ATOMIC_SPECIES
Np 237.00 Np.upf
Pa 231.04 Pa.upf
Be 9.01 Be.upf
ATOMIC_POSITIONS crystal
Np 0.6588 0.6588 0.6588
Pa 0.3419 0.3419 0.3419
Be 0.2790 0.9992 0.7214
Be 0.7214 0.2790 0.9992
Be 0.9992 0.7214 0.2790
Be 0.2790 0.7214 0.9992
Be 0.9992 0.2790 0.7214
Be 0.7214 0.9992 0.2790
Be 0.3394 0.8442 0.3394
Be 0.3394 0.3394 0.8442
Be 0.8442 0.3394 0.3394
Be 0.6628 0.1533 0.6628
Be 0.6628 0.6628 0.1533
Be 0.1533 0.6628 0.6628
Be 0.9994 0.5002 0.9994
Be 0.9994 0.9994 0.5002
Be 0.5002 0.9994 0.9994
Be 0.9035 0.9035 0.9035
Be 0.0959 0.0959 0.0959
CELL_PARAMETERS angstrom
5.7948 0.0208 0.7069
0.6284 5.7607 0.7069
0.0231 0.0208 5.8377
```

NpBe4Pd8 | GGA-PBE | relaxed Values from VASP.

## Properties
- DOS(E_F): 0.998 states/eV per atom
- Space group: No. 139
- ΔE_f: -522 kJ/mol of formula units

The structure in Quantum ESPRESSO input format:
```
&SYSTEM
  ibrav = 0, nat = 13, ntyp = 3
/
ATOMIC_SPECIES
Np 237.00 Np.upf
Be 9.01 Be.upf
Pd 106.42 Pd.upf
ATOMIC_POSITIONS crystal
Np 0.0000 0.0000 0.0000
Be 0.0000 0.0000 0.5000
Be 0.5000 0.0000 0.5000
Be 0.0000 0.5000 0.0000
Be 0.5000 0.5000 0.0000
Pd 0.0000 0.3299 0.6701
Pd 0.0000 0.6701 0.3299
Pd 0.3299 0.6701 0.6701
Pd 0.6701 0.3299 0.3299
Pd 0.5000 0.7748 0.2252
Pd 0.5000 0.2252 0.7748
Pd 0.2748 0.2252 0.2252
Pd 0.7252 0.7748 0.7748
CELL_PARAMETERS angstrom
-2.1170 -1.8416 -4.3171
-2.0548 -6.1293 0.5519
-6.3951 1.0290 -0.3733
```

NpBePd | GGA-PBE | relaxed Values from VASP.

## Properties
- DOS(E_F): 1.385 states/eV per atom
- Space group: No. 62
- ΔE_f: -45 kJ/mol of formula units

The structure in Quantum ESPRESSO input format:
```
&SYSTEM
  ibrav = 0, nat = 12, ntyp = 3
/
ATOMIC_SPECIES
Np 237.00 Np.upf
Be 9.01 Be.upf
Pd 106.42 Pd.upf
ATOMIC_POSITIONS crystal
Np 0.2500 0.3784 0.5037
Np 0.7500 0.6216 0.4963
Np 0.2500 0.1216 0.0037
Np 0.7500 0.8784 0.9963
Be 0.2500 0.6328 0.8037
Be 0.7500 0.3672 0.1963
Be 0.2500 0.8672 0.3037
Be 0.7500 0.1328 0.6963
Pd 0.2500 0.5584 0.1299
Pd 0.7500 0.4416 0.8701
Pd 0.2500 0.9416 0.6299
Pd 0.7500 0.0584 0.3701
CELL_PARAMETERS angstrom
3.8070 0.0000 0.0000
0.0000 6.6114 0.0000
0.0000 0.0000 7.4717
```